# PBE Mg2TlFe, relaxed
data_Mg2TlFe
_chemical_formula_sum 'Mg2 Tl1 Fe1'
_symmetry_space_group_name_H-M 'P m m 2'
_symmetry_Int_Tables_number 25
_symmetry_space_group_name_Hall 'P 2 -2'
_cell_length_a 3.161
_cell_length_b 4.026
_cell_length_c 6.096
_cell_angle_alpha 90.00
_cell_angle_beta 90.00
_cell_angle_gamma 90.00
loop_
_atom_site_label
_atom_site_type_symbol
_atom_site_fract_x
_atom_site_fract_y
_atom_site_fract_z
Mg1 Mg 0.000 0.000 0.000
Mg2 Mg 0.500 0.500 0.267
Tl1 Tl 0.000 0.000 0.536
Fe1 Fe 0.500 0.500 0.792
# * ρ: 6.6 g/cm3
# * calculated formation energy: 0.2755 eV per atom
# * DFT total energy: -3.229 eV/atom
# * total magnetization: 2.3 μB/cell
# * distance to the lowest polymorph of the same formula: 92 meV/atom